An optimized crystal structure of Ca2AlSb, computed with PBE.

Cell lengths 5.7236, 5.7236, 5.7236 Å; angles 130.35, 130.35, 72.85 degrees
Closest atoms and distances in Å follow each position.
Positions (direct):
Ca 0.9998 0.9998 0.0000  4 Sb 3.33, 4 Al 3.33, 4 Ca 3.40
Ca 0.5002 0.5002 0.0000  4 Sb 3.33, 4 Al 3.33, 4 Ca 3.40
Al 0.2500 0.7500 0.5000  8 Ca 3.33, 4 Sb 3.40
Sb 0.7500 0.2500 0.5000  8 Ca 3.33, 4 Al 3.40

Properties
The relative energy among the computed polymorphs is 7 meV/atom. The calculation puts the raw formation energy at -510 meV/atom. The crystal system is tetragonal.


An optimized crystal structure of Ba2Cu2Te2P2O13, computed with PBE.

Cell lengths 9.6800, 9.6800, 9.2929 Å; angles 81.25, 81.25, 46.26 degrees
Closest atoms and distances in Å follow each position.
Positions (direct):
O 0.2877 0.0991 0.0836  1 P 1.53
O 0.8506 0.9197 0.6623  1 P 1.56
O 0.9944 0.4712 0.8008  1 P 1.57
O 0.0803 0.1494 0.8377  1 P 1.56
O 0.7113 0.2825 0.9608  1 Te 1.91, 1 Cu 1.96
O 0.7123 0.9009 0.9164  1 P 1.53
O 0.9197 0.8506 0.1623  1 P 1.56
O 0.4465 0.7758 0.2186  1 P 1.58
O 0.1726 0.5455 0.9312  1 Te 1.90, 1 Cu 2.00
O 0.7258 0.2742 0.2500  2 Te 2.05
O 0.2242 0.5535 0.2814  1 P 1.58
O 0.2887 0.7175 0.0392  1 Te 1.91, 1 Cu 1.96
O 0.9009 0.7123 0.4164  1 P 1.53
O 0.5288 0.0056 0.6992  1 P 1.57
O 0.1494 0.0803 0.3377  1 P 1.56
O 0.5535 0.2242 0.7814  1 P 1.58
O 0.2825 0.7113 0.4608  1 Te 1.91, 1 Cu 1.96
O 0.5455 0.1726 0.4312  1 Te 1.90, 1 Cu 2.00
O 0.4545 0.8274 0.5688  1 Te 1.90, 1 Cu 2.00
O 0.4712 0.9944 0.3008  1 P 1.57
O 0.2742 0.7258 0.7500  2 Te 2.05
O 0.8274 0.4545 0.0688  1 Te 1.90, 1 Cu 2.00
O 0.0991 0.2877 0.5836  1 P 1.53
O 0.7175 0.2887 0.5392  1 Te 1.91, 1 Cu 1.96
O 0.0056 0.5288 0.1992  1 P 1.57
O 0.7758 0.4465 0.7186  1 P 1.58
Cu 0.3046 0.6954 0.2500  4 O 1.96-1.97
Cu 0.6954 0.3046 0.7500  4 O 1.96-1.97
Cu 0.0000 0.5000 0.0000  4 O 1.93-2.00
Cu 0.5000 0.0000 0.5000  4 O 1.93-2.00
Ba 0.7749 0.5137 0.3950  7 O 2.72-2.98
Ba 0.4863 0.2251 0.1050  7 O 2.72-2.98
Ba 0.5137 0.7749 0.8950  7 O 2.72-2.98
Ba 0.2251 0.4863 0.6050  7 O 2.72-2.98
P 0.0076 0.6668 0.2653  4 O 1.53-1.58
P 0.6668 0.0076 0.7653  4 O 1.53-1.58
P 0.9924 0.3332 0.7347  4 O 1.53-1.58
P 0.3332 0.9924 0.2347  4 O 1.53-1.58
Te 0.9065 0.2121 0.0692  3 O 1.90-2.05
Te 0.2121 0.9065 0.5692  3 O 1.90-2.05
Te 0.7879 0.0935 0.4308  3 O 1.90-2.05
Te 0.0935 0.7879 0.9308  3 O 1.90-2.05

Properties
The calculation puts the raw formation energy at -1843 meV/atom. The crystal system is monoclinic.


An optimized crystal structure of YHgAu2, computed with PBE.

Cell lengths 6.5914, 6.5914, 6.5914 Å; angles 38.30, 38.30, 38.30 degrees
Closest atoms and distances in Å follow each position.
Positions (direct):
Hg 0.2500 0.2500 0.2500  6 Au 2.89
Au 0.5035 0.5035 0.5035  3 Hg 2.89, 3 Y 2.96
Au 0.9965 0.9965 0.9965  3 Hg 2.89, 3 Y 2.96
Y 0.7500 0.7500 0.7500  6 Au 2.96

Properties
The uncorrected energy is -3.793 eV per atom. The crystal system is trigonal.


Repeat the first record exactly.
An optimized crystal structure of Ca2AlSb, computed with PBE.

Cell lengths 5.7236, 5.7236, 5.7236 Å; angles 130.35, 130.35, 72.85 degrees
Closest atoms and distances in Å follow each position.
Positions (direct):
Ca 0.9998 0.9998 0.0000  4 Sb 3.33, 4 Al 3.33, 4 Ca 3.40
Ca 0.5002 0.5002 0.0000  4 Sb 3.33, 4 Al 3.33, 4 Ca 3.40
Al 0.2500 0.7500 0.5000  8 Ca 3.33, 4 Sb 3.40
Sb 0.7500 0.2500 0.5000  8 Ca 3.33, 4 Al 3.40

Properties
The relative energy among the computed polymorphs is 7 meV/atom. The calculation puts the raw formation energy at -510 meV/atom. The crystal system is tetragonal.